Record 1
# BaTaNb2

A relaxed structure of BaTaNb2 (PBE, Alexandria via LeMat-Bulk).

The structure in POSCAR format:
```
BaTaNb2
1.0
0.0000 3.5248 3.5248
3.5248 0.0000 3.5248
3.5248 3.5248 0.0000
Ba Ta Nb
1 1 2
direct
0.0000 0.0000 0.0000
0.5000 0.5000 0.5000
0.2500 0.2500 0.2500
0.7500 0.7500 0.7500
```

Record 2
# BaTaNb3

A relaxed structure of BaTaNb3 (PBE, Alexandria via LeMat-Bulk).

The structure in POSCAR format:
```
BaTaNb3
1.0
5.1138 0.0000 0.0000
0.0000 5.1138 0.0000
0.0000 0.0000 5.1138
Ba Ta Nb
1 1 3
direct
0.0000 0.0000 0.0000
0.5000 0.5000 0.5000
0.0000 0.5000 0.5000
0.5000 0.0000 0.5000
0.5000 0.5000 0.0000
```

Record 3
# BaTa3Nb

A relaxed structure of BaTa3Nb (PBE, Alexandria via LeMat-Bulk).

The structure in POSCAR format:
```
BaTa3Nb
1.0
5.0020 0.0000 0.0000
0.0000 5.0020 0.0000
0.0000 0.0000 5.0020
Ba Ta Nb
1 3 1
direct
0.0000 0.0000 0.0000
0.0000 0.0000 0.5000
0.0000 0.5000 0.0000
0.5000 0.0000 0.0000
0.5000 0.5000 0.5000
```

no.,E (eV/atom),calculated volume (A^3/atom),formation enthalpy at 0 K (eV per atom)
1,-7.4284,21.9,1.05
2,-7.5587,26.7,1.24
3,-6.4925,25.0,3.02